This record from the Alexandria database describes an optimized crystal structure of NbReAu2. The functional is PBE.

Unit cell a=3.8208 b=3.8208 c=10.3618 alpha=79.38 beta=79.38 gamma=90.00
Fractional coordinates of all 8 atoms:
Au  0.6304  0.1250  0.2500
Au  0.3750  0.3696  0.7500
Nb  0.5000  0.5000  0.0000
Re  0.7500  0.2500  0.5000
Au  0.1196  0.6250  0.2500
Au  0.8750  0.8804  0.7500
Re  0.0000  0.0000  0.0000
Nb  0.2500  0.7500  0.5000

Computed properties:
spin magnetization = 0.000 μB per cell
crystal system = tetragonal
energy of formation = 0.5130 eV/atom
energy relative to the lowest polymorph listed for this composition = 16 meV/atom
space-group type = No. 122